This record from OQMD describes a relaxed structure of AgSnTeO. The functional is PBE.

Properties
DFT total energy ... -4.296 eV/atom
Energy above the lowest structure with this stoichiometry ... 0.000 eV per atom
Theoretical density ... 6.155 g/cm3

a = 3.966 Å, b = 3.966 Å, c = 12.698 Å
α = 90.00°, β = 90.00°, γ = 90.00°
Space group P4/nmm (No. 129, origin choice 2)
Unique sites:
Ag1 0.250 0.250 0.099
Sn1 0.250 0.250 0.589
Te1 0.250 0.250 0.871
O1 0.250 0.750 0.500